Computed, not measured: an optimized crystal structure of LiSc2Al at the PBE level of DFT.

Output
VASP energy: -35.1 eV for the cell shown
ΔE_f: 0.19 eV per atom
total magnetization: 0.15 μB per atom

a = 7.632 Å, b = 7.632 Å, c = 6.097 Å
α = 51.25°, β = 51.25°, γ = 90.00°
Atoms (fractional coordinates):
Sc: 0.614 0.125 0.250
Sc: 0.136 0.625 0.250
Sc: 0.375 0.386 0.750
Sc: 0.875 0.864 0.750
Al: 0.000 0.000 0.000
Al: 0.750 0.250 0.500
Li: 0.500 0.500 0.000
Li: 0.250 0.750 0.500